Entry 1:
Y2HoHgC: relaxed, GGA-PBE.

It has space group P4/mmm (No. 123), with a = 4.9178 Å, b = 4.9178 Å, c = 4.8700 Å, α = 90.00°, β = 90.00° and γ = 90.00°. Symmetry generates all atoms from Y at (0.0000, 0.5000, 0.0000), Ho at (0.0000, 0.0000, 0.5000), Hg at (0.5000, 0.5000, 0.5000) and C at (0.0000, 0.0000, 0.0000).

The calculation puts the density of states at the Fermi level at 7.180 states/eV per cell. For the formation energy, the calculation gives -37.9 kJ per mole of atoms.

---

Entry 2:
Hg2CI: relaxed, GGA-PBE.

It has space group Fd-3m (No. 227, origin choice 2), with a = 9.8416 Å, b = 9.8416 Å, c = 9.8416 Å, α = 90.00°, β = 90.00° and γ = 90.00°. Symmetry generates all atoms from Hg at (0.0000, 0.0000, 0.0000), C at (0.1250, 0.1250, 0.1250) and I at (0.1250, 0.1250, 0.6250).

The calculation puts the density of states at the Fermi level at 24.860 states/eV per cell. The calculation puts the energy above the most stable polymorph in this dataset at 0.000 eV per atom. For the uncorrected formation energy, the calculation gives 782 meV/atom.

---

Entry 3:
HgCI2: relaxed, GGA-PBE.

It has space group P-1 (No. 2), with a = 6.0461 Å, b = 7.3640 Å, c = 8.5944 Å, α = 115.12°, β = 92.92° and γ = 90.00°. Symmetry generates all atoms from Hg at (0.0000, 0.0000, 0.0000), Hg at (0.0000, 0.5000, 0.0000), C at (0.1763, 0.2724, 0.0452), I at (0.2921, 0.4077, 0.3185) and I at (0.4529, 0.1870, 0.8730).

The calculation puts the energy above the most stable polymorph in this dataset at 0.008 eV per atom. For the uncorrected formation energy, the calculation gives 650 meV/atom.

---

Number 1: M_tot 0.597 μB/f.u.. Number 2: M_tot 1.000 μB/f.u.. Number 3: M_tot 0.000 μB/f.u..